# 1
This record from Alexandria via LeMat-Bulk describes a relaxed structure of Tb2AgF. The functional is PBE-GGA.

Geometry as POSCAR:
```
Tb2AgF
1.0
-2.135 0.483 -2.444
0.218 -1.782 -2.746
-6.496 -7.027 2.084
Ag Tb F
1 2 1
direct
0.000 0.000 0.000
0.898 0.898 0.307
0.102 0.102 0.693
0.500 0.500 0.500
```

Properties
V in Å³ per atom: 22.39
Magnetic moment in μB per cell: 0.0
ΔE_f (raw) in eV/f.u.: -3.2
ρ in g/cm³: 8.2
Total DFT energy (no corrections) in eV for the cell shown: -17.23

---

# 2
This record from Alexandria via LeMat-Bulk describes a relaxed structure of Hg2TeAuO. The functional is PBE-GGA.

Geometry as POSCAR:
```
Hg2TeAuO
1.0
5.816 0.000 0.000
0.000 5.262 0.000
0.000 0.000 5.816
O Au Hg Te
1 1 2 1
direct
0.500 0.500 0.500
0.000 0.500 0.000
0.000 0.000 0.500
0.500 0.000 0.000
0.000 0.000 0.000
```

Properties
V in Å³ per atom: 35.60
Magnetic moment in μB per cell: 0.1
ΔE_f (raw) in eV/f.u.: 3.6
ρ in g/cm³: 6.9
Total DFT energy (no corrections) in eV for the cell shown: -8.43

---

# 3
This record from Alexandria via LeMat-Bulk describes a relaxed structure of K2TaMn. The functional is PBE-GGA.

Geometry as POSCAR:
```
K2TaMn
1.0
10.855 -0.002 0.098
10.405 3.094 0.098
0.678 0.099 3.901
Mn K Ta
1 2 1
direct
0.750 0.750 0.750
0.400 0.400 0.602
0.100 0.100 0.898
0.250 0.250 0.250
```

Properties
V in Å³ per atom: 32.71
Energy of formation in eV per atom: 0.752
Magnetic moment in μB per cell: 1.5
Energy above the lowest structure with this stoichiometry in meV per atom: 16.9
ρ in g/cm³: 4.0
Total DFT energy (no corrections) in eV for the cell shown: -20.21

---

# 4
This record from Alexandria via LeMat-Bulk describes a relaxed structure of Ti2HgF. The functional is PBE-GGA.

Geometry as POSCAR:
```
Ti2HgF
1.0
4.873 0.000 0.000
0.000 4.873 0.000
2.437 2.437 6.381
Hg Ti F
2 4 2
direct
0.000 0.000 0.000
0.750 0.250 0.500
0.375 0.531 0.750
0.281 0.625 0.250
0.875 0.719 0.750
0.469 0.125 0.250
0.250 0.750 0.500
0.500 0.500 0.000
```

Properties
V in Å³ per atom: 18.94
Magnetic moment in μB per cell: 0.0
ΔE_f (raw) in eV/f.u.: -2.0
Energy above the lowest structure with this stoichiometry in meV per atom: 0.0
ρ in g/cm³: 6.9
Total DFT energy (no corrections) in eV for the cell shown: -39.83

---

# 5
This record from Alexandria via LeMat-Bulk describes a relaxed structure of ZrRu3W. The functional is PBE-GGA.

Geometry as POSCAR:
```
ZrRu3W
1.0
-3.849 2.593 0.179
-2.341 -3.319 -2.252
-1.129 -1.957 4.058
Zr W Ru
1 1 3
direct
0.500 0.500 0.500
0.000 0.000 0.000
0.000 0.000 0.500
0.500 0.000 0.000
0.000 0.500 0.000
```

Properties
V in Å³ per atom: 20.04
Energy of formation in eV per atom: 1.010
Magnetic moment in μB per cell: 0.0
Energy above the lowest structure with this stoichiometry in meV per atom: 0.0
ρ in g/cm³: 9.6
Total DFT energy (no corrections) in eV for the cell shown: -44.28

---

# 6
This record from Alexandria via LeMat-Bulk describes a relaxed structure of Cs3Ag2I2F3. The functional is PBE-GGA.

Geometry as POSCAR:
```
Cs3Ag2I2F3
1.0
-5.396 -1.336 0.408
1.314 -5.407 -0.325
3.061 2.902 11.894
F Cs I Ag
3 3 2 2
direct
0.887 0.887 0.775
0.500 0.500 0.000
0.113 0.113 0.225
0.000 0.000 0.000
0.618 0.618 0.236
0.382 0.382 0.764
0.250 0.750 0.500
0.750 0.250 0.500
0.793 0.793 0.586
0.207 0.207 0.414
```

Properties
V in Å³ per atom: 37.25
Magnetic moment in μB per cell: 0.0
ΔE_f (raw) in eV/f.u.: -15.4
ρ in g/cm³: 4.1
Total DFT energy (no corrections) in eV for the cell shown: -32.41

---

# 7
This record from Alexandria via LeMat-Bulk describes a relaxed structure of BeCu2B2. The functional is PBE-GGA.

Geometry as POSCAR:
```
BeCu2B2
1.0
3.342 0.000 0.000
0.000 3.342 0.000
1.671 1.671 4.335
Cu B Be
2 2 1
direct
0.750 0.250 0.500
0.250 0.750 0.500
0.410 0.410 0.180
0.590 0.590 0.820
0.000 0.000 0.000
```

Properties
V in Å³ per atom: 9.69
Energy of formation in eV per atom: 0.431
Magnetic moment in μB per cell: 0.0
Energy above the lowest structure with this stoichiometry in meV per atom: 125.0
ρ in g/cm³: 5.4
Total DFT energy (no corrections) in eV for the cell shown: -23.12

---

# 8
This record from Alexandria via LeMat-Bulk describes a relaxed structure of Ho2AlGaAu6. The functional is PBE-GGA.

Geometry as POSCAR:
```
Ho2AlGaAu6
1.0
5.707 0.000 0.000
0.000 8.897 0.000
0.000 0.000 8.635
Ga Ho Au Al
2 4 12 2
direct
0.000 0.729 0.500
0.500 0.271 0.000
0.500 0.735 0.241
0.000 0.265 0.741
0.000 0.265 0.259
0.500 0.735 0.759
0.500 0.121 0.246
0.247 0.012 0.500
0.500 0.121 0.754
0.251 0.493 0.500
0.253 0.988 0.000
0.751 0.507 0.000
0.000 0.879 0.746
0.000 0.879 0.254
0.749 0.493 0.500
0.249 0.507 0.000
0.753 0.012 0.500
0.747 0.988 0.000
0.000 0.738 0.000
0.500 0.262 0.500
```

Properties
V in Å³ per atom: 21.92
Energy of formation in eV per atom: -0.461
Magnetic moment in μB per cell: 0.0
ρ in g/cm³: 12.2
Total DFT energy (no corrections) in eV for the cell shown: -80.40

---

# 9
This record from Alexandria via LeMat-Bulk describes a relaxed structure of TePtSe2. The functional is PBE-GGA.

Geometry as POSCAR:
```
TePtSe2
1.0
-2.902 -0.726 -0.609
0.854 -1.154 -2.694
1.296 -8.620 4.106
Te Se Pt
1 2 1
direct
0.000 0.000 0.548
0.000 0.000 0.936
0.500 0.500 0.263
0.500 0.500 0.753
```

Properties
V in Å³ per atom: 22.45
Magnetic moment in μB per cell: 0.0
ΔE_f (raw) in eV/f.u.: 1.3
ρ in g/cm³: 8.9
Total DFT energy (no corrections) in eV for the cell shown: -14.82

---

# 10
This record from Alexandria via LeMat-Bulk describes a relaxed structure of NdMnN. The functional is PBE-GGA.

Geometry as POSCAR:
```
NdMnN
1.0
3.365 0.000 0.000
0.000 3.398 0.000
-1.682 0.000 8.367
Mn Nd N
2 2 2
direct
0.249 0.750 0.499
0.751 0.250 0.501
0.896 0.750 0.792
0.104 0.250 0.208
0.687 0.750 0.373
0.313 0.250 0.627
```

Properties
V in Å³ per atom: 15.94
Magnetic moment in μB per cell: 0.0
ΔE_f (raw) in eV/f.u.: -1.2
Energy above the lowest structure with this stoichiometry in meV per atom: 0.0
ρ in g/cm³: 7.4
Total DFT energy (no corrections) in eV for the cell shown: -46.92

---

# 11
This record from Alexandria via LeMat-Bulk describes a relaxed structure of NaLa4Tm3Se8. The functional is PBE-GGA.

Geometry as POSCAR:
```
NaLa4Tm3Se8
1.0
8.327 0.000 0.000
0.000 8.413 0.055
-4.163 -4.159 5.891
Se La Na Tm
8 4 1 3
direct
0.244 0.728 0.489
0.756 0.272 0.017
0.756 0.272 0.511
0.742 0.726 0.484
0.258 0.274 0.516
0.261 0.272 0.017
0.739 0.728 0.983
0.244 0.728 0.983
0.000 0.000 0.500
0.000 0.000 0.000
0.500 0.000 0.000
0.500 0.000 0.500
0.000 0.500 0.000
0.000 0.500 0.500
0.500 0.500 0.000
0.500 0.500 0.500
```

Properties
V in Å³ per atom: 25.92
Magnetic moment in μB per cell: 0.0
ΔE_f (raw) in eV/f.u.: -29.0
ρ in g/cm³: 6.9
Total DFT energy (no corrections) in eV for the cell shown: -91.37